First-principles (PBE-GGA) data for an optimized crystal structure of CaScW2, as listed in Alexandria via LeMat-Bulk.

```
4
Lattice="0.000 3.387 3.387 3.387 0.000 3.387 3.387 3.387 0.000" Properties=species:S:1:pos:R:3 pbc="T T T"
Ca 0.000 0.000 0.000
Sc 5.080 5.080 5.080
W 1.693 1.693 1.693
W 3.387 3.387 3.387
```

Electronic total energy (eV/atom): -7.94
M_tot (μB/f.u.): 0.000
ΔH_f (0 K) (meV per atom): 622
Polymorph energy (0 for the lowest one) (eV/atom): 0.2820
SG: F-43m